The following is a GGA-PBEsol calculation of an optimized crystal structure of PmInHg2, from Alexandria via LeMat-Bulk.

Geometry as extended XYZ:
```
4
Lattice="-1.099 -4.568 -2.030 3.246 -3.912 0.594 -1.246 -3.920 3.045" Properties=species:S:1:pos:R:3 pbc="T T T"
Hg 0.225 -3.100 0.402
Pm 0.451 -6.200 0.805
In 0.000 0.000 0.000
Hg 0.676 -9.300 1.207
```

Energy of formation   -0.4897 eV/atom
Uncorrected energy   -2.803 eV per atom
Fermi-level density of states   0.34 states/eV/atom

***

The following is a GGA-PBEsol calculation of an optimized crystal structure of In3HgPt, from Alexandria via LeMat-Bulk.

Geometry as extended XYZ:
```
5
Lattice="-2.728 0.425 -4.316 1.381 -4.749 -1.340 -4.111 -1.876 2.414" Properties=species:S:1:pos:R:3 pbc="T T T"
In -2.056 -0.938 1.207
In 0.690 -2.374 -0.670
In -1.364 0.212 -2.158
Pt 0.000 0.000 0.000
Hg -2.729 -3.100 -1.621
```

Energy of formation   -0.1585 eV/atom
Uncorrected energy   -3.454 eV per atom
Fermi-level density of states   0.27 states/eV/atom

***

The following is a GGA-PBEsol calculation of an optimized crystal structure of In2HgPt, from Alexandria via LeMat-Bulk.

Geometry as extended XYZ:
```
4
Lattice="3.150 0.000 0.000 0.000 5.034 0.037 0.000 -0.034 5.034" Properties=species:S:1:pos:R:3 pbc="T T T"
In 0.000 -0.017 2.517
In 0.000 2.517 0.018
Pt 1.575 0.000 0.000
Hg 1.575 2.500 2.536
```

Energy of formation   -0.0483 eV/atom
Uncorrected energy   -3.422 eV per atom
Fermi-level density of states   0.39 states/eV/atom

***

The following is a GGA-PBEsol calculation of an optimized crystal structure of In2HgPt, from Alexandria via LeMat-Bulk.

Geometry as extended XYZ:
```
4
Lattice="3.352 0.000 0.000 1.676 2.903 0.000 1.676 0.968 8.749" Properties=species:S:1:pos:R:3 pbc="T T T"
In 5.028 2.903 0.039
Pt 3.352 1.935 4.416
Hg 1.676 0.968 2.392
In 5.028 2.903 6.275
```

Energy of formation   -0.0300 eV/atom
Uncorrected energy   -3.404 eV per atom
Fermi-level density of states   0.48 states/eV/atom

***

The following is a GGA-PBEsol calculation of an optimized crystal structure of InHgPt2, from Alexandria via LeMat-Bulk.

Geometry as extended XYZ:
```
4
Lattice="-1.986 0.766 2.034 -3.523 -0.782 -3.146 -0.285 -4.666 1.478" Properties=species:S:1:pos:R:3 pbc="T T T"
Pt -1.953 -3.528 -0.579
Pt -0.023 -0.369 0.117
In -2.801 -0.775 -0.313
Hg -1.160 -2.343 1.881
```

Energy of formation   -0.1964 eV/atom
Uncorrected energy   -4.566 eV per atom
Fermi-level density of states   0.34 states/eV/atom
ΔE to the lowest computed polymorph   0.000 eV per atom

***

The following is a GGA-PBEsol calculation of an optimized crystal structure of InHgPt2, from Alexandria via LeMat-Bulk.

Geometry as extended XYZ:
```
4
Lattice="3.948 0.000 0.000 0.000 3.948 0.000 -1.974 -1.974 4.450" Properties=species:S:1:pos:R:3 pbc="T T T"
Pt 1.974 0.000 2.225
Hg 1.974 1.974 0.000
Pt 0.000 0.000 0.000
In 0.000 1.974 2.225
```

Energy of formation   -0.1569 eV/atom
Uncorrected energy   -4.526 eV per atom
Fermi-level density of states   0.42 states/eV/atom
ΔE to the lowest computed polymorph   0.040 eV per atom

***

The following is a GGA-PBEsol calculation of an optimized crystal structure of Rb2InHg2, from Alexandria via LeMat-Bulk.

Geometry as extended XYZ:
```
10
Lattice="-3.934 3.157 2.667 -5.577 -4.795 -2.552 0.830 -4.367 6.392" Properties=species:S:1:pos:R:3 pbc="T T T"
Hg -0.464 -2.242 1.970
In 0.000 0.000 0.000
Rb -5.050 -5.261 4.882
Hg -3.440 -3.654 -0.749
Rb -3.633 -0.744 1.626
Rb -2.385 -2.211 5.203
In -2.374 -4.581 1.920
Hg -1.308 -5.508 4.589
Rb -6.297 -3.794 1.304
Hg -4.284 -6.920 1.871
```

Energy of formation   -0.1219 eV/atom
Uncorrected energy   -1.355 eV per atom
Fermi-level density of states   0.77 states/eV/atom

***

The following is a GGA-PBEsol calculation of an optimized crystal structure of In2HgRh, from Alexandria via LeMat-Bulk.

Geometry as extended XYZ:
```
4
Lattice="3.052 0.000 0.000 0.000 3.078 0.199 0.000 -0.485 8.571" Properties=species:S:1:pos:R:3 pbc="T T T"
Hg 1.526 1.539 0.100
Rh 1.526 -0.242 4.286
In 0.000 1.409 2.673
In 0.000 1.184 6.097
```

Energy of formation   -0.1938 eV/atom
Uncorrected energy   -3.861 eV per atom
Fermi-level density of states   0.47 states/eV/atom

***

The following is a GGA-PBEsol calculation of an optimized crystal structure of In2HgRh, from Alexandria via LeMat-Bulk.

Geometry as extended XYZ:
```
4
Lattice="-0.957 3.473 0.772 -2.637 -1.229 2.261 3.685 0.053 4.328" Properties=species:S:1:pos:R:3 pbc="T T T"
Hg 0.994 1.162 4.794
Rh 1.748 0.025 2.053
In -0.750 1.137 2.746
In 3.627 0.052 4.259
```

Energy of formation   -0.0619 eV/atom
Uncorrected energy   -3.730 eV per atom
Fermi-level density of states   0.48 states/eV/atom

***

The following is a GGA-PBEsol calculation of an optimized crystal structure of InHgRh3, from Alexandria via LeMat-Bulk.

Geometry as extended XYZ:
```
5
Lattice="4.787 0.000 0.000 0.000 4.787 0.000 0.000 0.000 4.787" Properties=species:S:1:pos:R:3 pbc="T T T"
Rh 0.000 0.000 2.393
Rh 2.393 0.000 0.000
Hg 2.393 2.393 2.393
In 0.000 0.000 0.000
Rh 0.000 2.393 0.000
```

Energy of formation   1.3792 eV/atom
Uncorrected energy   -4.214 eV per atom
Fermi-level density of states   1.84 states/eV/atom
ΔE to the lowest computed polymorph   0.000 eV per atom

***

The following is a GGA-PBEsol calculation of an optimized crystal structure of InHg2Rh, from Alexandria via LeMat-Bulk.

Geometry as extended XYZ:
```
4
Lattice="-0.855 -0.404 -3.184 -3.875 -2.126 1.310 -2.340 4.315 0.081" Properties=species:S:1:pos:R:3 pbc="T T T"
Hg 0.000 0.000 0.000
In -1.597 1.955 -1.552
Rh -3.108 1.094 0.695
Hg -2.365 -1.265 -0.937
```

Energy of formation   0.0791 eV/atom
Uncorrected energy   -2.985 eV per atom
Fermi-level density of states   0.47 states/eV/atom

***

The following is a GGA-PBEsol calculation of an optimized crystal structure of In3HgRh, from Alexandria via LeMat-Bulk.

Geometry as extended XYZ:
```
5
Lattice="5.082 0.000 0.000 0.000 5.082 0.000 0.000 0.000 5.082" Properties=species:S:1:pos:R:3 pbc="T T T"
Rh 0.000 0.000 0.000
In 2.541 0.000 0.000
In 0.000 2.541 0.000
Hg 2.541 2.541 2.541
In 0.000 0.000 2.541
```

Energy of formation   -0.1287 eV/atom
Uncorrected energy   -3.659 eV per atom
Fermi-level density of states   0.34 states/eV/atom